Entry 1:
A geometry-optimized ErScCd6 structure, computed with PBE.

Unit cell a=4.976 b=4.976 c=7.048 alpha=90.00 beta=90.00 gamma=90.00
Fractional positions:
Er1 0.000 0.000 0.000
Sc1 0.500 0.500 0.500
Cd1 0.000 0.000 0.500
Cd2 0.000 0.500 0.258
Cd3 0.000 0.500 0.742
Cd4 0.500 0.000 0.258
Cd5 0.500 0.000 0.742
Cd6 0.500 0.500 0.000

Total magnetization in μB/cell: 0.037
Relative energy among the computed polymorphs in meV/atom: 18
Space group: P4/mmm, No. 123

---

Entry 2:
A geometry-optimized ErTlCdSe3 structure, computed with PBE.

Unit cell a=7.651 b=7.651 c=11.072 alpha=90.00 beta=90.00 gamma=148.03
Fractional positions:
Er1 0.000 0.000 0.000
Er2 0.000 0.000 0.500
Tl1 0.253 0.747 0.750
Tl2 0.747 0.253 0.250
Cd1 0.456 0.544 0.250
Cd2 0.544 0.456 0.750
Se1 0.070 0.930 0.250
Se2 0.369 0.631 0.044
Se3 0.369 0.631 0.456
Se4 0.631 0.369 0.544
Se5 0.631 0.369 0.956
Se6 0.930 0.070 0.750

Total magnetization in μB/cell: 0.006
Relative energy among the computed polymorphs in meV/atom: 0
Space group: Cmcm, No. 63